No. 1
Entry from the Alexandria database: YMoW2 after structural relaxation (GGA-PBE).

Lattice parameters (Å, degrees): 3.237 4.627 4.817 90.00 90.00 90.00
Element x y z (fractional)
Y  0.000  0.000  0.000
Mo  0.500  0.500  0.000
W  0.000  0.500  0.500
W  0.500  0.000  0.500

symmetry	Pmmm (47)

No. 2
Entry from the Alexandria database: YMoW2 after structural relaxation (GGA-PBE).

Lattice parameters (Å, degrees): 3.896 3.896 9.735 90.00 90.00 90.00
Element x y z (fractional)
Y  0.000  0.000  0.000
Y  0.500  0.500  0.500
Mo  0.000  0.000  0.500
Mo  0.500  0.500  0.000
W  0.000  0.500  0.250
W  0.000  0.500  0.750
W  0.500  0.000  0.250
W  0.500  0.000  0.750

symmetry	I4/mmm (139)

no.,calculated volume (Å³/atom),E_tot (eV for the cell shown)
1,18.0,-41.10
2,18.5,-80.96